[1]
ZrSn (PBE-GGA, optimized geometry); magnetic moment = 0.00 μB per formula unit; volume = 23.215 Å³ per atom; crystal system = orthorhombic; DFT total energy = -6.603 eV per atom
1.0
-3.7991 -0.2156 3.9775
3.6288 -1.2316 7.2092
0.4337 5.4237 0.7083
Zr Sn
5 5
Direct
0.4557 0.2159 0.0000 Zr
0.0716 0.9841 0.0000 Zr
0.8340 0.6000 0.5000 Zr
0.6019 0.9850 0.5000 Zr
0.9868 0.2150 0.5000 Zr
0.1988 0.8186 0.5000 Sn
0.8688 0.3815 0.0000 Sn
0.4173 0.3813 0.5000 Sn
0.6504 0.8185 0.0000 Sn
0.2477 0.6000 0.0000 Sn

[2]
ZrSn (PBE-GGA, optimized geometry); magnetic moment = 0.00 μB per formula unit; volume = 23.047 Å³ per atom; crystal system = orthorhombic; DFT total energy = -6.577 eV per atom
1.0
11.6551 0.0000 0.0000
0.0000 5.9747 0.0000
0.0000 0.0000 5.2954
Sn Zr
8 8
Direct
0.4889 0.5000 0.0000 Sn
0.0327 0.5000 0.0000 Sn
0.6340 0.0000 0.5000 Sn
0.9010 0.2461 0.5000 Sn
0.7657 0.7461 0.0000 Sn
0.9010 0.7539 0.5000 Sn
0.7657 0.2539 0.0000 Sn
0.1777 0.0000 0.5000 Sn
0.2604 0.7486 0.0000 Zr
0.1378 0.5000 0.5000 Zr
0.5289 0.0000 0.0000 Zr
0.0053 0.0000 0.0000 Zr
0.2604 0.2514 0.0000 Zr
0.4062 0.2486 0.5000 Zr
0.6614 0.5000 0.5000 Zr
0.4062 0.7514 0.5000 Zr

[3]
ZrSn (PBE-GGA, optimized geometry); magnetic moment = 0.01 μB per formula unit; volume = 22.925 Å³ per atom; crystal system = orthorhombic; DFT total energy = -6.528 eV per atom
1.0
2.7070 4.6885 0.0000
-5.4689 6.2830 0.0000
0.0000 0.0000 5.3753
Zr Sn
5 5
Direct
0.2628 0.6012 0.0000 Zr
0.2085 0.8000 0.5000 Zr
0.8052 0.5895 0.5000 Zr
0.0639 0.9988 0.0000 Zr
0.5948 0.0105 0.5000 Zr
0.4775 0.1998 0.0000 Sn
0.0027 0.1882 0.5000 Sn
0.3908 0.4118 0.5000 Sn
0.8772 0.4002 0.0000 Sn
0.6498 0.8000 0.0000 Sn